1.
Material: Li4Ca3Cd4
Method: DFT, PBE-GGA
State: optimized geometry

Properties
D(E_F): 6.8 states/eV per cell
energy relative to the elements: -0.17 eV/atom
total moment: 0.000 μB/cell
calculated total energy: -0.0642 hartree per atom

Lattice parameters (Å, degrees): 7.1054 7.1054 7.1054 109.47 109.47 109.47
Last column: nearest neighbours and their distance in Å.
Fractional coordinates of all 11 atoms:
Li 0.0000 0.2387 0.0000  4 Cd 2.57-2.78, 3 Li 2.77
Li 0.0000 0.0000 0.2387  4 Cd 2.57-2.78, 3 Li 2.77
Li 0.2387 0.0000 0.0000  4 Cd 2.57-2.78, 3 Li 2.77
Li 0.7613 0.7613 0.7613  4 Cd 2.57-2.78, 3 Li 2.77
Ca 0.5000 0.5000 0.0000  4 Cd 3.38, 4 Li 3.42
Ca 0.5000 0.0000 0.5000  4 Cd 3.38, 4 Li 3.42
Ca 0.0000 0.5000 0.5000  4 Cd 3.38, 4 Li 3.42
Cd 0.0000 0.5998 0.0000  4 Li 2.57-2.78
Cd 0.5998 0.0000 0.0000  4 Li 2.57-2.78
Cd 0.0000 0.0000 0.5998  4 Li 2.57-2.78
Cd 0.4002 0.4002 0.4002  4 Li 2.57-2.78


2.
Material: Tl2Sb
Method: DFT, PBE-GGA
State: optimized geometry

Properties
D(E_F): 2.9 states/eV per cell
uncorrected formation energy: 84 meV/atom
total moment: 0.000 μB/cell
calculated total energy: -0.1054 hartree per atom

Lattice parameters (Å, degrees): 4.6987 6.1961 7.5957 90.00 90.00 90.00
Last column: nearest neighbours and their distance in Å.
Fractional coordinates of all 6 atoms:
Sb 0.0000 0.0000 0.0000  6 Tl 3.12-3.14
Sb 0.5000 0.5000 0.5000  6 Tl 3.12-3.14
Tl 0.0000 0.2037 0.6218  3 Sb 3.12-3.14, 1 Tl 3.13
Tl 0.0000 0.7963 0.3782  3 Sb 3.12-3.14, 1 Tl 3.13
Tl 0.5000 0.7037 0.8782  3 Sb 3.12-3.14, 1 Tl 3.13
Tl 0.5000 0.2963 0.1218  3 Sb 3.12-3.14, 1 Tl 3.13


3.
Material: MgSbCl
Method: DFT, PBE-GGA
State: optimized geometry

Properties
D(E_F): 0.9 states/eV per cell
uncorrected formation energy: -875 meV/atom
total moment: 0.000 μB/cell
calculated total energy: -0.1248 hartree per atom

Lattice parameters (Å, degrees): 3.4690 3.4696 15.5346 90.58 90.00 119.99
Last column: nearest neighbours and their distance in Å.
Fractional coordinates of all 6 atoms:
Mg 0.1674 0.3349 0.2199  3 Cl 2.47
Mg 0.8326 0.6651 0.7801  3 Cl 2.47
Sb 0.5054 0.0108 0.3706  3 Mg 3.08
Sb 0.4946 0.9892 0.6294  3 Mg 3.08
Cl 0.1688 0.3375 0.8736  3 Mg 2.47
Cl 0.8312 0.6625 0.1264  3 Mg 2.47


4.
Material: BaIn2Co
Method: DFT, PBE-GGA
State: optimized geometry

Properties
D(E_F): 7.7 states/eV per cell
energy relative to the elements: 0.11 eV/atom
total moment: 0.000 μB/cell
calculated total energy: -0.1292 hartree per atom

Lattice parameters (Å, degrees): 5.9017 5.9017 8.9080 70.65 70.65 90.00
Last column: nearest neighbours and their distance in Å.
Fractional coordinates of all 8 atoms:
Co 0.5000 0.5000 0.0000  4 In 2.46
Co 0.2500 0.7500 0.5000  4 In 2.46
Ba 0.0000 0.0000 0.0000  8 In 3.84-3.85, 4 Co 4.17
Ba 0.7500 0.2500 0.5000  8 In 3.84-3.85, 4 Co 4.17
In 0.3760 0.1250 0.2500  2 Co 2.46
In 0.3740 0.6250 0.2500  2 Co 2.46
In 0.3750 0.6240 0.7500  2 Co 2.46
In 0.8750 0.6260 0.7500  2 Co 2.46


5.
Material: TmAlPt
Method: DFT, PBE-GGA
State: optimized geometry

Properties
D(E_F): 1.6 states/eV per cell
energy relative to the elements: -1.04 eV/atom
total moment: 0.000 μB/cell
calculated total energy: -0.2128 hartree per atom

Lattice parameters (Å, degrees): 3.5881 4.3881 4.3881 120.00 90.00 90.00
Last column: nearest neighbours and their distance in Å.
Fractional coordinates of all 3 atoms:
Tm 0.6666 0.6667 0.3333  6 Al 3.10, 6 Pt 3.10
Al 0.1668 0.3333 0.6667  3 Pt 2.53
Pt 0.1667 0.0000 0.0000  3 Al 2.53


6.
Material: Ac2GeSe
Method: DFT, PBE-GGA
State: optimized geometry

Properties
D(E_F): 1.7 states/eV per cell
uncorrected formation energy: -1270 meV/atom
total moment: 0.000 μB/cell
calculated total energy: -0.1966 hartree per atom

Lattice parameters (Å, degrees): 4.5026 4.5026 8.2088 74.08 74.08 60.00
Last column: nearest neighbours and their distance in Å.
Fractional coordinates of all 4 atoms:
Ac 0.0775 0.0775 0.7675  3 Ge 3.16, 3 Se 3.30
Ac 0.2571 0.2571 0.2287  3 Ge 3.16, 3 Se 3.38
Ge 0.6674 0.6674 0.9979  6 Ac 3.16
Se 0.4980 0.4980 0.5059  6 Ac 3.30-3.38


7.
Material: TlCd2H6
Method: DFT, PBE-GGA
State: optimized geometry

Properties
D(E_F): 1.6 states/eV per cell
total moment: 0.000 μB/cell
calculated total energy: -0.0928 hartree per atom

Lattice parameters (Å, degrees): 6.1964 12.3138 2.9711 83.13 61.59 75.43
Last column: nearest neighbours and their distance in Å.
Fractional coordinates of all 9 atoms:
Tl 0.0000 0.0000 0.0000  4 H 2.76-2.78, 2 Tl 2.97
Cd 0.3899 0.2203 0.5000  2 Cd 2.97, 4 H 3.04
Cd 0.6101 0.7797 0.5000  2 Cd 2.97, 4 H 3.04
H 0.0249 0.4716 0.0410  1 H 0.75
H 0.4965 0.5284 0.0410  1 H 0.75
H 0.5714 0.0000 0.9302  1 H 0.78
H 0.5035 0.4716 0.9590  1 H 0.75
H 0.9751 0.5284 0.9590  1 H 0.75
H 0.4286 0.0000 0.0698  1 H 0.78


8.
Material: KIn2Hg4
Method: DFT, PBE-GGA
State: optimized geometry

Properties
D(E_F): 3.2 states/eV per cell
energy relative to the elements: -0.10 eV/atom
total moment: 0.000 μB/cell
calculated total energy: -0.0446 hartree per atom

Lattice parameters (Å, degrees): 4.9779 3.5410 11.7275 98.68 102.25 90.00
Last column: nearest neighbours and their distance in Å.
Fractional coordinates of all 7 atoms:
K 0.5000 0.0000 0.0000  12 Hg 3.50-3.87, 2 K 3.54
Hg 0.6520 0.6520 0.3041  2 Hg 3.03, 5 In 3.10-3.33
Hg 0.3480 0.3480 0.6959  2 Hg 3.03, 5 In 3.10-3.33
Hg 0.0756 0.5756 0.1511  2 Hg 3.03
Hg 0.9244 0.4244 0.8489  2 Hg 3.03
In 0.7889 0.7889 0.5778  5 Hg 3.10-3.33
In 0.2111 0.2111 0.4222  5 Hg 3.10-3.33


9.
Material: NdErSi4
Method: DFT, PBE-GGA
State: optimized geometry

Properties
D(E_F): 8.1 states/eV per cell
uncorrected formation energy: -451 meV/atom
total moment: 0.000 μB/cell
calculated total energy: -0.2066 hartree per atom

Lattice parameters (Å, degrees): 4.0973 8.2571 14.6606 90.00 90.00 90.00
Last column: nearest neighbours and their distance in Å.
Fractional coordinates of all 24 atoms:
Nd 0.0000 0.6164 0.3621  10 Si 3.17-3.37
Nd 0.0000 0.3836 0.6379  10 Si 3.17-3.37
Nd 0.0000 0.1164 0.1379  10 Si 3.17-3.37
Nd 0.0000 0.8836 0.8621  10 Si 3.17-3.37
Er 0.0000 0.6403 0.0876  10 Si 2.85-3.01
Er 0.0000 0.3597 0.9124  10 Si 2.85-3.01
Er 0.0000 0.1403 0.4124  10 Si 2.85-3.01
Er 0.0000 0.8597 0.5876  10 Si 2.85-3.01
Si 0.5000 0.8083 0.1957  3 Si 2.29-2.40
Si 0.5000 0.1917 0.8043  3 Si 2.29-2.40
Si 0.5000 0.3083 0.3043  3 Si 2.29-2.40
Si 0.5000 0.6917 0.6957  3 Si 2.29-2.40
Si 0.5000 0.8734 0.0361  3 Si 2.34-2.50
Si 0.5000 0.1266 0.9639  3 Si 2.34-2.50
Si 0.5000 0.3734 0.4639  3 Si 2.34-2.50
Si 0.5000 0.6266 0.5361  3 Si 2.34-2.50
Si 0.5000 0.8789 0.4423  3 Si 2.47-2.62
Si 0.5000 0.1211 0.5577  3 Si 2.47-2.62
Si 0.5000 0.3789 0.0577  3 Si 2.47-2.62
Si 0.5000 0.6211 0.9423  3 Si 2.47-2.62
Si 0.5000 0.0229 0.2946  3 Si 2.29-2.47
Si 0.5000 0.9771 0.7054  3 Si 2.29-2.47
Si 0.5000 0.5229 0.2054  3 Si 2.29-2.47
Si 0.5000 0.4771 0.7946  3 Si 2.29-2.47


10.
Material: SrTl2O
Method: DFT, PBE-GGA
State: optimized geometry

Properties
D(E_F): 4.2 states/eV per cell
uncorrected formation energy: -9 meV/atom
total moment: 0.000 μB/cell
calculated total energy: -0.1048 hartree per atom

Lattice parameters (Å, degrees): 5.2557 5.2557 5.2557 60.00 60.00 60.00
Last column: nearest neighbours and their distance in Å.
Fractional coordinates of all 4 atoms:
Sr 0.5000 0.5000 0.5000  8 Tl 3.22
Tl 0.2500 0.2500 0.2500  4 O 3.22, 4 Sr 3.22
Tl 0.7500 0.7500 0.7500  4 O 3.22, 4 Sr 3.22
O 0.0000 0.0000 0.0000  8 Tl 3.22


11.
Material: Ho3ScCu2
Method: DFT, PBE-GGA
State: optimized geometry

Properties
D(E_F): 13.7 states/eV per cell
energy relative to the elements: -0.11 eV/atom
total moment: 0.000 μB/cell
calculated total energy: -0.1771 hartree per atom

Lattice parameters (Å, degrees): 3.5620 8.5035 9.4059 90.00 90.00 90.00
Last column: nearest neighbours and their distance in Å.
Fractional coordinates of all 12 atoms:
Ho 0.0000 0.4945 0.9193  4 Cu 2.92-2.99
Ho 0.0000 0.9945 0.0807  4 Cu 2.92-2.99
Ho 0.5000 0.6703 0.2216  3 Cu 2.74-2.87
Ho 0.5000 0.1703 0.7784  3 Cu 2.74-2.87
Ho 0.0000 0.3329 0.2879  3 Cu 2.75-2.78
Ho 0.0000 0.8329 0.7121  3 Cu 2.75-2.78
Sc 0.5000 0.5050 0.5708  4 Cu 2.84-3.01
Sc 0.5000 0.0050 0.4292  4 Cu 2.84-3.01
Cu 0.5000 0.7770 0.9327  7 Ho 2.78-2.99
Cu 0.5000 0.2770 0.0673  7 Ho 2.78-2.99
Cu 0.0000 0.2203 0.5617  3 Ho 2.74-2.75, 4 Sc 2.84-3.01
Cu 0.0000 0.7203 0.4383  3 Ho 2.74-2.75, 4 Sc 2.84-3.01


12.
Material: GaMo4H2
Method: DFT, PBE-GGA
State: optimized geometry

Properties
D(E_F): 6.9 states/eV per cell
total moment: 0.000 μB/cell
calculated total energy: -0.2383 hartree per atom

Lattice parameters (Å, degrees): 4.5484 4.5484 5.6430 66.23 66.23 90.00
Last column: nearest neighbours and their distance in Å.
Fractional coordinates of all 7 atoms:
H 0.5572 0.5572 0.8857  1 H 1.06
H 0.4428 0.4428 0.1143  1 H 1.06
Mo 0.7383 0.7383 0.5234  1 H 1.68
Mo 0.2617 0.2617 0.4766  1 H 1.68
Mo 0.0000 0.5000 0.0000  2 Ga 2.27, 4 H 2.34
Mo 0.5000 0.0000 0.0000  2 Ga 2.27, 4 H 2.34
Ga 0.0000 0.0000 0.0000  6 Mo 2.27-2.43